Density functional theory data (PBE) for Sm2Ge3Ir after structural relaxation.

The calculation puts the density of states at the Fermi level at 3.789 states/eV per cell. The calculation puts the energy of formation at -0.74 eV per atom. Its crystal system is monoclinic. The calculation puts the energy above the most stable polymorph in this dataset at 0.29 eV per formula unit. The volume is 21.13 A^3/atom.

```
data_Sm2Ge3Ir
_chemical_formula_sum 'Sm2 Ge3 Ir1'
_cell_length_a 4.397
_cell_length_b 5.794
_cell_length_c 5.859
_cell_angle_alpha 74.83
_cell_angle_beta 67.96
_cell_angle_gamma 67.70
_space_group_name_H-M_alt 'P 1'
_space_group_IT_number 1
loop_
_space_group_symop_operation_xyz
'x,y,z'
loop_
_atom_site_label
_atom_site_fract_x
_atom_site_fract_y
_atom_site_fract_z
Sm1 0.548 0.189 0.715
Sm2 0.435 0.817 0.314
Ge1 0.872 0.597 0.659
Ge2 0.805 0.264 0.127
Ge3 0.174 0.744 0.908
Ir1 0.167 0.389 0.277
```